The following is a meta-GGA SCAN calculation of Co2RuBr at its PBEsol-relaxed geometry, from Alexandria via LeMat-Bulk.

a b c (Å): 2.865 4.291 8.488
angles (deg): 90.00 90.00 90.00
Space group Immm (No. 71)
Asymmetric unit:
Co 0.000 0.000 0.237 x4
Ru 0.000 0.500 0.000 x2
Br 0.000 0.500 0.500 x2

Formation energy from raw total energies = 912 meV per atom
Magnetization = 9.286 μB per cell
DOS(E_F) = 5.99 states/eV per cell
Energy above the lowest structure with this stoichiometry = 398 meV/atom
Total DFT energy (no corrections) = -21.3111 eV per atom

=====

The following is a meta-GGA SCAN calculation of MoOsBr at its PBEsol-relaxed geometry, from Alexandria via LeMat-Bulk.

a b c (Å): 6.044 6.044 6.044
angles (deg): 90.00 90.00 90.00
Space group F-43m (No. 216)
Asymmetric unit:
Mo 0.000 0.000 0.000 x4
Os 0.250 0.250 0.750 x4
Br 0.000 0.000 0.500 x4

Formation energy from raw total energies = 1216 meV per atom
Magnetization = 0.001 μB per cell
DOS(E_F) = 10.72 states/eV per cell
Energy above the lowest structure with this stoichiometry = 259 meV/atom
Total DFT energy (no corrections) = -40.8594 eV per atom